# FeTc2Te | the Alexandria database | GGA-PBE | relaxed
# E: -30.9 eV per formula unit
# ρ: 10.13 g cm⁻³
# formation energy from raw total energies: 0.348 eV/atom
# magnetization: 2.4 μB per formula unit
data_FeTc2Te
_symmetry_space_group_name_H-M 'P 1'
_symmetry_Int_Tables_number 1
_symmetry_space_group_name_Hall 'P 1'
_cell_length_a 4.8427
_cell_length_b 4.8427
_cell_length_c 4.5304
_cell_angle_alpha 106.14
_cell_angle_beta 106.14
_cell_angle_gamma 37.79
loop_
_atom_site_label
_atom_site_fract_x
_atom_site_fract_y
_atom_site_fract_z
Fe1 0.0000 0.0000 0.0000
Tc1 0.2667 0.2667 0.8826
Tc2 0.5003 0.5003 0.5258
Te1 0.7502 0.7502 0.3448



# FeTcTe | the Alexandria database | GGA-PBE | relaxed
# E: -21.7 eV per formula unit
# ρ: 7.42 g cm⁻³
# formation energy from raw total energies: 0.105 eV/atom
# magnetization: 0.1 μB per formula unit
data_FeTcTe
_symmetry_space_group_name_H-M 'P 1'
_symmetry_Int_Tables_number 1
_symmetry_space_group_name_Hall 'P 1'
_cell_length_a 4.1423
_cell_length_b 4.1423
_cell_length_c 9.1499
_cell_angle_alpha 108.98
_cell_angle_beta 108.98
_cell_angle_gamma 59.96
loop_
_atom_site_label
_atom_site_fract_x
_atom_site_fract_y
_atom_site_fract_z
Fe1 0.0000 0.0000 0.0000
Fe2 0.5986 0.5986 0.8584
Tc1 0.3270 0.3270 0.9870
Tc2 0.7318 0.7318 0.1363
Te1 0.1443 0.1443 0.3020
Te2 0.8594 0.8594 0.7077



# FeTc2Te | the Alexandria database | GGA-PBE | relaxed
# E: -30.8 eV per formula unit
# ρ: 9.98 g cm⁻³
# formation energy from raw total energies: 0.381 eV/atom
# magnetization: 1.9 μB per formula unit
data_FeTc2Te
_symmetry_space_group_name_H-M 'P 1'
_symmetry_Int_Tables_number 1
_symmetry_space_group_name_Hall 'P 1'
_cell_length_a 4.6486
_cell_length_b 4.6486
_cell_length_c 4.7699
_cell_angle_alpha 99.56
_cell_angle_beta 99.56
_cell_angle_gamma 38.46
loop_
_atom_site_label
_atom_site_fract_x
_atom_site_fract_y
_atom_site_fract_z
Fe1 0.0000 0.0000 0.0000
Tc1 0.2668 0.2668 0.7885
Tc2 0.7332 0.7332 0.2115
Te1 0.5000 0.5000 0.5000



# FeTc2Te | the Alexandria database | GGA-PBE | relaxed
# E: -31.1 eV per formula unit
# ρ: 10.27 g cm⁻³
# formation energy from raw total energies: 0.320 eV/atom
# magnetization: 2.8 μB per formula unit
data_FeTc2Te
_symmetry_space_group_name_H-M 'P 1'
_symmetry_Int_Tables_number 1
_symmetry_space_group_name_Hall 'P 1'
_cell_length_a 4.4035
_cell_length_b 4.4035
_cell_length_c 3.1635
_cell_angle_alpha 90.00
_cell_angle_beta 90.00
_cell_angle_gamma 90.00
loop_
_atom_site_label
_atom_site_fract_x
_atom_site_fract_y
_atom_site_fract_z
Fe1 0.0000 0.0000 0.0000
Tc1 0.0000 0.5000 0.5000
Tc2 0.5000 0.0000 0.5000
Te1 0.5000 0.5000 0.0000



# FeTcTe4 | the Alexandria database | GGA-PBE | relaxed
# E: -22.9 eV per formula unit
# ρ: 6.45 g cm⁻³
# formation energy from raw total energies: 1.413 eV/atom
# magnetization: 0.7 μB per formula unit
data_FeTcTe4
_symmetry_space_group_name_H-M 'P 1'
_symmetry_Int_Tables_number 1
_symmetry_space_group_name_Hall 'P 1'
_cell_length_a 6.2303
_cell_length_b 6.2303
_cell_length_c 6.2303
_cell_angle_alpha 60.00
_cell_angle_beta 60.00
_cell_angle_gamma 60.00
loop_
_atom_site_label
_atom_site_fract_x
_atom_site_fract_y
_atom_site_fract_z
Fe1 0.0000 0.0000 0.0000
Tc1 0.7500 0.7500 0.7500
Te1 0.3750 0.3750 0.3750
Te2 0.3750 0.3750 0.8749
Te3 0.3750 0.8749 0.3750
Te4 0.8749 0.3750 0.3750



# FeTcTe | the Alexandria database | GGA-PBE | relaxed
# E: -21.5 eV per formula unit
# ρ: 7.40 g cm⁻³
# formation energy from raw total energies: 0.161 eV/atom
# magnetization: 0.0 μB per formula unit
data_FeTcTe
_symmetry_space_group_name_H-M 'P 1'
_symmetry_Int_Tables_number 1
_symmetry_space_group_name_Hall 'P 1'
_cell_length_a 3.9802
_cell_length_b 3.9802
_cell_length_c 9.3342
_cell_angle_alpha 99.22
_cell_angle_beta 99.22
_cell_angle_gamma 60.34
loop_
_atom_site_label
_atom_site_fract_x
_atom_site_fract_y
_atom_site_fract_z
Fe1 0.0000 0.0000 0.0000
Fe2 0.1116 0.1116 0.7684
Tc1 0.3146 0.3146 0.0759
Tc2 0.4492 0.4492 0.8412
Te1 0.7391 0.7391 0.6320
Te2 0.9572 0.9572 0.2608